1.
NbSnAs2 (GGA-PBE, relaxed); total moment = 1.0 μB per formula unit; Fermi-level density of states = 2.20 states/eV/f.u.; DFT formation energy = 0.1352 eV/atom; space group = No. 122
1.0
-3.265 3.995 -3.310
-4.410 -4.198 -0.716
-6.603 1.922 3.157
Sn As Nb
2 4 2
Direct
0.000 0.000 0.000 Sn
0.750 0.250 0.500 Sn
0.583 0.125 0.250 As
0.375 0.417 0.750 As
0.167 0.625 0.250 As
0.875 0.833 0.750 As
0.500 0.500 0.000 Nb
0.250 0.750 0.500 Nb

=====

2.
Er2Cd3Au4 (GGA-PBE, relaxed); total moment = 0.0 μB per formula unit; Fermi-level density of states = 5.42 states/eV/f.u.; DFT formation energy = -0.5550 eV/atom; space group = No. 12
1.0
-4.544 1.081 -1.186
-3.605 -1.040 3.076
0.922 8.397 4.111
Au Cd Er
4 3 2
Direct
0.997 0.006 0.655 Au
0.003 0.994 0.345 Au
0.666 0.667 0.901 Au
0.334 0.333 0.099 Au
0.335 0.330 0.424 Cd
0.000 0.000 0.000 Cd
0.665 0.670 0.576 Cd
0.333 0.335 0.782 Er
0.667 0.665 0.218 Er

=====

3.
YIN2Cl (GGA-PBE, relaxed); total moment = 0.0 μB per formula unit; formation energy (no corrections) = 1.4821 eV per atom; Fermi-level density of states = 1.84 states/eV/f.u.; space group = No. 123; energy relative to the lowest polymorph listed for this composition = 777.5 meV per atom
1.0
-2.626 -1.851 2.896
3.227 -0.072 2.880
-1.339 4.419 1.611
I Y N Cl
1 1 2 1
Direct
0.000 0.000 0.500 I
0.500 0.500 0.500 Y
0.500 0.000 0.000 N
0.000 0.500 0.000 N
0.000 0.000 0.000 Cl

=====

4.
Ga2Ir2Au (GGA-PBE, relaxed); total moment = 0.0 μB per formula unit; Fermi-level density of states = 1.93 states/eV/f.u.; DFT formation energy = -0.2484 eV/atom; space group = No. 127; energy relative to the lowest polymorph listed for this composition = 0.0 meV per atom
1.0
-0.423 -6.597 3.104
5.188 1.912 4.770
-2.066 1.001 1.846
Ir Au Ga
4 2 4
Direct
0.358 0.858 0.000 Ir
0.142 0.358 0.000 Ir
0.642 0.142 0.000 Ir
0.858 0.642 0.000 Ir
0.000 0.000 0.000 Au
0.500 0.500 0.000 Au
0.156 0.656 0.500 Ga
0.656 0.844 0.500 Ga
0.844 0.344 0.500 Ga
0.344 0.156 0.500 Ga

=====

total moment of number 2 (Er2Cd3Au4)? 0.0 μB per formula unit